First-principles (SCAN) data for TlCd2Tc at its PBEsol-relaxed geometry, as listed in Alexandria. Values from VASP.

The structure in Quantum ESPRESSO input format:
```
&SYSTEM
  ibrav = 0, nat = 4, ntyp = 3
/
ATOMIC_SPECIES
Tc 98.00 Tc.upf
Cd 112.41 Cd.upf
Tl 204.38 Tl.upf
ATOMIC_POSITIONS crystal
Tc 0.5000 0.5000 0.0000
Cd 0.0000 0.0000 0.7717
Cd 0.0000 0.0000 0.2283
Tl 0.5000 0.5000 0.5000
CELL_PARAMETERS angstrom
3.1484 0.0000 0.0000
0.0000 4.1698 0.0000
0.0000 0.0000 5.8865
```

Output
The total DFT energy (no corrections) is -41.58 eV per atom. The calculation puts the formation energy at 0.482 eV/atom.